Density functional theory data (PBE-GGA) for a geometry-optimized RbCeTeS structure. Values from VASP.

Geometry as Quantum ESPRESSO input:
```
&SYSTEM
  ibrav = 0, nat = 4, ntyp = 4
/
ATOMIC_SPECIES
Rb 85.47 Rb.upf
Ce 140.12 Ce.upf
Te 127.60 Te.upf
S 32.06 S.upf
ATOMIC_POSITIONS crystal
Rb 0.975 0.386 0.376
Ce 0.287 0.541 0.843
Te 0.107 0.951 0.073
S 0.509 0.152 0.677
CELL_PARAMETERS angstrom
-0.057 -2.440 -3.669
-2.228 -1.327 3.563
-5.966 6.239 -1.410
```

- raw total energy (eV per atom) = -5.0352
- ΔE_f (raw) (meV per atom) = -1493



Density functional theory data (PBE-GGA) for a geometry-optimized Na4TlOs3O12 structure. Values from VASP.

Geometry as Quantum ESPRESSO input:
```
&SYSTEM
  ibrav = 0, nat = 20, ntyp = 4
/
ATOMIC_SPECIES
Na 22.99 Na.upf
Tl 204.38 Tl.upf
Os 190.23 Os.upf
O 16.00 O.upf
ATOMIC_POSITIONS crystal
Na 0.500 0.500 0.500
Na 0.000 0.000 0.500
Na 0.500 0.000 0.000
Na 0.000 0.500 0.000
Tl 0.000 0.000 0.000
Os 0.500 0.000 0.500
Os 0.500 0.500 0.000
Os 0.000 0.500 0.500
O 0.250 0.500 0.750
O 0.733 0.000 0.733
O 0.267 0.000 0.267
O 0.750 0.500 0.250
O 0.733 0.733 0.000
O 0.267 0.267 0.000
O 0.750 0.250 0.500
O 0.250 0.750 0.500
O 0.500 0.250 0.750
O 0.000 0.733 0.733
O 0.500 0.750 0.250
O 0.000 0.267 0.267
CELL_PARAMETERS angstrom
-1.770 -6.511 1.436
6.797 0.782 0.880
-3.374 4.285 4.225
```

- raw total energy (eV per atom) = -6.0983
- ΔE_f (raw) (meV per atom) = -1057



Density functional theory data (PBE-GGA) for a geometry-optimized Rb2TaTeI6 structure. Values from VASP.

Geometry as Quantum ESPRESSO input:
```
&SYSTEM
  ibrav = 0, nat = 10, ntyp = 4
/
ATOMIC_SPECIES
I 126.90 I.upf
Te 127.60 Te.upf
Rb 85.47 Rb.upf
Ta 180.95 Ta.upf
ATOMIC_POSITIONS crystal
I 0.240 0.240 0.519
I 0.760 0.760 0.481
I 0.214 0.214 0.000
I 0.786 0.786 0.000
I 0.786 0.214 0.000
I 0.214 0.786 0.000
Te 0.500 0.500 0.000
Rb 0.750 0.250 0.500
Rb 0.250 0.750 0.500
Ta 0.000 0.000 0.000
CELL_PARAMETERS angstrom
9.286 0.000 0.000
0.000 9.286 0.000
4.643 4.643 5.824
```

- raw total energy (eV per atom) = -3.1725
- ΔE_f (raw) (meV per atom) = -549



Density functional theory data (PBE-GGA) for a geometry-optimized CeMg2Ge2Au2 structure. Values from VASP.

Geometry as Quantum ESPRESSO input:
```
&SYSTEM
  ibrav = 0, nat = 7, ntyp = 4
/
ATOMIC_SPECIES
Ce 140.12 Ce.upf
Mg 24.30 Mg.upf
Ge 72.64 Ge.upf
Au 196.97 Au.upf
ATOMIC_POSITIONS crystal
Ce 0.000 0.000 0.000
Mg 0.139 0.139 0.584
Mg 0.861 0.861 0.416
Ge 0.734 0.734 0.798
Ge 0.266 0.266 0.202
Au 0.563 0.563 0.311
Au 0.437 0.437 0.689
CELL_PARAMETERS angstrom
-2.307 -2.720 2.624
1.947 -3.577 1.740
2.133 2.319 8.016
```

- raw total energy (eV per atom) = -4.0922
- ΔH_f (0 K) (eV per atom) = -0.53



Density functional theory data (PBE-GGA) for a geometry-optimized La4SmOs2 structure. Values from VASP.

Geometry as Quantum ESPRESSO input:
```
&SYSTEM
  ibrav = 0, nat = 14, ntyp = 3
/
ATOMIC_SPECIES
Os 190.23 Os.upf
Sm 150.36 Sm.upf
La 138.91 La.upf
ATOMIC_POSITIONS crystal
Os 0.250 0.244 0.984
Os 0.750 0.756 0.016
Os 0.750 0.369 0.406
Os 0.250 0.631 0.594
Sm 0.250 0.845 0.974
Sm 0.750 0.155 0.026
La 0.501 0.418 0.761
La 0.250 0.240 0.316
La 0.750 0.760 0.684
La 0.999 0.418 0.761
La 0.750 0.027 0.377
La 0.001 0.582 0.239
La 0.499 0.582 0.239
La 0.250 0.973 0.623
CELL_PARAMETERS angstrom
-6.563 1.296 0.881
0.282 -3.474 7.216
1.612 7.885 0.404
```

- raw total energy (eV per atom) = -6.7539
- ΔH_f (0 K) (eV per atom) = -0.06



Density functional theory data (PBE-GGA) for a geometry-optimized AcEr7Tm2 structure. Values from VASP.

Geometry as Quantum ESPRESSO input:
```
&SYSTEM
  ibrav = 0, nat = 10, ntyp = 3
/
ATOMIC_SPECIES
Ac 227.00 Ac.upf
Er 167.26 Er.upf
Tm 168.93 Tm.upf
ATOMIC_POSITIONS crystal
Ac 0.000 0.000 0.000
Er 0.000 0.796 0.592
Er 0.000 0.204 0.408
Er 0.755 0.632 0.775
Er 0.245 0.368 0.225
Er 0.755 0.857 0.225
Er 0.245 0.143 0.775
Er 0.500 0.500 0.000
Tm 0.500 0.700 0.399
Tm 0.500 0.300 0.601
CELL_PARAMETERS angstrom
5.084 1.679 -0.737
2.701 7.559 -3.815
-1.528 0.029 9.333
```

- raw total energy (eV per atom) = -4.4415
- ΔH_f (0 K) (eV per atom) = 0.06



Density functional theory data (PBE-GGA) for a geometry-optimized ZrW3 structure. Values from VASP.

Geometry as Quantum ESPRESSO input:
```
&SYSTEM
  ibrav = 0, nat = 8, ntyp = 2
/
ATOMIC_SPECIES
Zr 91.22 Zr.upf
W 183.84 W.upf
ATOMIC_POSITIONS crystal
Zr 0.625 0.375 0.250
Zr 0.375 0.625 0.750
W 0.366 0.115 0.750
W 0.876 0.124 0.750
W 0.115 0.366 0.250
W 0.885 0.634 0.750
W 0.124 0.876 0.250
W 0.634 0.885 0.250
CELL_PARAMETERS angstrom
3.283 -4.619 0.000
3.283 4.619 0.000
0.000 0.000 4.561
```

- raw total energy (eV per atom) = -11.7591
- ΔH_f (0 K) (eV per atom) = 0.09



Density functional theory data (PBE-GGA) for a geometry-optimized SiMoPb2 structure. Values from VASP.

Geometry as Quantum ESPRESSO input:
```
&SYSTEM
  ibrav = 0, nat = 4, ntyp = 3
/
ATOMIC_SPECIES
Mo 95.94 Mo.upf
Pb 207.20 Pb.upf
Si 28.09 Si.upf
ATOMIC_POSITIONS crystal
Mo 0.750 0.750 0.750
Pb 0.087 0.087 0.914
Pb 0.413 0.413 0.586
Si 0.250 0.250 0.250
CELL_PARAMETERS angstrom
-4.232 -6.350 -3.281
-1.852 -7.963 -1.470
-2.398 -0.703 2.525
```

- raw total energy (eV per atom) = -5.6675
- ΔE_f (raw) (meV per atom) = 250



Density functional theory data (PBE-GGA) for a geometry-optimized MgGeSb3 structure. Values from VASP.

Geometry as Quantum ESPRESSO input:
```
&SYSTEM
  ibrav = 0, nat = 5, ntyp = 3
/
ATOMIC_SPECIES
Sb 121.76 Sb.upf
Ge 72.64 Ge.upf
Mg 24.30 Mg.upf
ATOMIC_POSITIONS crystal
Sb 0.000 0.500 0.000
Sb 0.000 0.000 0.500
Sb 0.500 0.000 0.000
Ge 0.000 0.000 0.000
Mg 0.500 0.500 0.500
CELL_PARAMETERS angstrom
-0.553 4.464 2.941
-5.328 -0.701 0.062
0.435 -2.910 4.497
```

- raw total energy (eV per atom) = -3.1488
- ΔE_f (raw) (meV per atom) = 567



Density functional theory data (PBE-GGA) for a geometry-optimized TbCePrCd structure. Values from VASP.

Geometry as Quantum ESPRESSO input:
```
&SYSTEM
  ibrav = 0, nat = 4, ntyp = 4
/
ATOMIC_SPECIES
Pr 140.91 Pr.upf
Tb 158.93 Tb.upf
Ce 140.12 Ce.upf
Cd 112.41 Cd.upf
ATOMIC_POSITIONS crystal
Pr 0.250 0.250 0.250
Tb 0.750 0.750 0.750
Ce 0.000 0.000 0.000
Cd 0.500 0.500 0.500
CELL_PARAMETERS angstrom
-2.468 0.772 4.820
1.638 -2.816 4.393
2.647 2.548 4.051
```

- raw total energy (eV per atom) = -4.0087
- ΔH_f (0 K) (eV per atom) = 0.06



Density functional theory data (PBE-GGA) for a geometry-optimized TeAsP2O structure. Values from VASP.

Geometry as Quantum ESPRESSO input:
```
&SYSTEM
  ibrav = 0, nat = 5, ntyp = 4
/
ATOMIC_SPECIES
P 30.97 P.upf
As 74.92 As.upf
Te 127.60 Te.upf
O 16.00 O.upf
ATOMIC_POSITIONS crystal
P 0.000 0.500 0.000
P 0.500 0.000 0.000
As 0.500 0.500 0.500
Te 0.000 0.000 0.000
O 0.000 0.000 0.500
CELL_PARAMETERS angstrom
-1.519 3.869 -2.978
-2.389 -3.309 -3.080
-3.255 0.364 2.134
```

- raw total energy (eV per atom) = -4.0713
- ΔE_f (raw) (meV per atom) = 643



Density functional theory data (PBE-GGA) for a geometry-optimized K6Na5Cd structure. Values from VASP.

Geometry as Quantum ESPRESSO input:
```
&SYSTEM
  ibrav = 0, nat = 12, ntyp = 3
/
ATOMIC_SPECIES
Na 22.99 Na.upf
K 39.10 K.upf
Cd 112.41 Cd.upf
ATOMIC_POSITIONS crystal
Na 0.678 0.178 0.355
Na 0.335 0.335 0.670
Na 0.000 0.500 0.000
Na 0.665 0.665 0.330
Na 0.322 0.822 0.645
K 0.841 0.602 0.682
K 0.841 0.080 0.682
K 0.500 0.771 0.000
K 0.500 0.229 0.000
K 0.159 0.920 0.318
K 0.159 0.398 0.318
Cd 0.000 0.000 0.000
CELL_PARAMETERS angstrom
6.267 0.026 -1.829
-1.304 8.356 -4.352
-0.104 0.458 11.305
```

- raw total energy (eV per atom) = -1.1562
- ΔH_f (0 K) (eV per atom) = 0.02



> The lowest raw total energy belongs to which entry?

ZrW3